# Dy11In9Co4, relaxed, DFT PBE-GGA
# VASP energy ... -4.758 eV/atom
# Magnetic moment ... 0.10 μB/cell
# Density ... 8.97 Mg/m³
data_Dy11In9Co4
_cell_length_a 14.4185
_cell_length_b 21.5566
_cell_length_c 3.6425
_cell_angle_alpha 90.00
_cell_angle_beta 90.00
_cell_angle_gamma 90.00
_space_group_name_H-M_alt 'C m m m'
_space_group_IT_number 65
_space_group_name_Hall '-C 2 2'
loop_
_atom_site_label
_atom_site_type_symbol
_atom_site_fract_x
_atom_site_fract_y
_atom_site_fract_z
Dy1 Dy 0.0000 0.0000 0.0000
Dy2 Dy 0.0000 0.1609 0.0000
Dy3 Dy 0.0000 0.3749 0.0000
Dy4 Dy 0.1859 0.5000 0.0000
Dy5 Dy 0.2494 0.3326 0.0000
In1 In 0.0000 0.5000 0.5000
In2 In 0.1046 0.2636 0.5000
In3 In 0.1501 0.0706 0.5000
Co1 Co 0.1515 0.3985 0.5000

=====

# KUTl, relaxed, DFT PBE-GGA
# Distance to the lowest polymorph of the same formula ... 0 meV/atom
# Magnetic moment ... 13.45 μB/cell
# Density ... 6.85 Mg/m³
data_KUTl
_cell_length_a 7.7590
_cell_length_b 7.7590
_cell_length_c 7.7590
_cell_angle_alpha 90.00
_cell_angle_beta 90.00
_cell_angle_gamma 90.00
_space_group_name_H-M_alt 'F -4 3 m'
_space_group_IT_number 216
_space_group_name_Hall 'F -4 2 3'
loop_
_atom_site_label
_atom_site_type_symbol
_atom_site_fract_x
_atom_site_fract_y
_atom_site_fract_z
K1 K 0.0000 0.0000 0.0000
U1 U 0.0000 0.0000 0.5000
Tl1 Tl 0.2500 0.2500 0.2500